[1]
The following is a PBE calculation of a relaxed Sm2TlReO8 crystal, from Alexandria via LeMat-Bulk.

## Properties
The electronic total energy comes out at -7.47 eV per atom. The value obtained for the total magnetic moment is 0.0 μB per formula unit. For the uncorrected formation energy, the calculation gives -2.145 eV/atom.

Cell: 6.7316 7.1755 7.3061 Å, 90.00 92.05 90.00°
Space group C2/m (No. 12)
Unique sites:
Sm1 0.0352 0.0000 0.2584 [4 per cell]
Tl1 0.0000 0.5000 0.0000 [2 per cell]
Re1 0.0000 0.5000 0.5000 [2 per cell]
O1 0.0306 0.3181 0.6891 [8 per cell]
O2 0.2006 0.0000 0.9843 [4 per cell]
O3 0.2210 0.0000 0.5303 [4 per cell]


[2]
The following is a PBE calculation of a relaxed TbCdAgPt crystal, from Alexandria via LeMat-Bulk.

## Properties
The electronic total energy comes out at -4.19 eV per atom. The formation energy comes out at -0.5793 eV per atom. The value obtained for the total magnetic moment is 0.0 μB per formula unit.

Cell: 6.9001 6.9001 6.9001 Å, 90.00 90.00 90.00°
Space group F-43m (No. 216)
Unique sites:
Tb1 0.0000 0.0000 0.0000 [4 per cell]
Cd1 0.0000 0.0000 0.5000 [4 per cell]
Ag1 0.2500 0.2500 0.7500 [4 per cell]
Pt1 0.2500 0.2500 0.2500 [4 per cell]


[3]
The following is a PBE calculation of a relaxed CdSbPd2N crystal, from Alexandria via LeMat-Bulk.

## Properties
The electronic total energy comes out at -2.94 eV per atom. The value obtained for the total magnetic moment is 1.8 μB per formula unit. For the uncorrected formation energy, the calculation gives 1.811 eV/atom.

Cell: 5.0897 5.0897 5.3838 Å, 90.00 90.00 90.00°
Space group P4/mmm (No. 123)
Unique sites:
Cd1 0.0000 0.0000 0.0000 [1 per cell]
Sb1 0.0000 0.0000 0.5000 [1 per cell]
Pd1 0.0000 0.5000 0.0000 [2 per cell]
N1 0.5000 0.5000 0.5000 [1 per cell]


[4]
The following is a PBE calculation of a relaxed KZnB2I crystal, from Alexandria via LeMat-Bulk.

## Properties
The electronic total energy comes out at -2.44 eV per atom. The value obtained for the total magnetic moment is 0.0 μB per formula unit. For the uncorrected formation energy, the calculation gives 1.014 eV/atom.

Cell: 4.3928 4.3928 6.6634 Å, 90.00 90.00 90.00°
Space group P4/mmm (No. 123)
Unique sites:
K1 0.0000 0.0000 0.0000 [1 per cell]
Zn1 0.5000 0.5000 0.5000 [1 per cell]
B1 0.0000 0.5000 0.5000 [2 per cell]
I1 0.5000 0.5000 0.0000 [1 per cell]


[5]
The following is a PBE calculation of a relaxed Dy4TlSn2 crystal, from Alexandria via LeMat-Bulk.

## Properties
The electronic total energy comes out at -4.53 eV per atom. The formation energy comes out at -0.4213 eV per atom. The value obtained for the total magnetic moment is 0.0 μB per formula unit.

Cell: 5.9346 6.5733 10.6151 Å, 90.00 105.89 90.00°
Space group P2_1/m (No. 11)
Unique sites:
Dy1 0.0279 0.2500 0.3577 [2 per cell]
Dy2 0.1502 0.2500 0.9541 [2 per cell]
Dy3 0.4541 0.5078 0.2337 [4 per cell]
Tl1 0.0553 0.2500 0.6643 [2 per cell]
Sn1 0.2843 0.7500 0.9484 [2 per cell]
Sn2 0.4196 0.7500 0.5034 [2 per cell]


[6]
The following is a PBE calculation of a relaxed GePtRh crystal, from Alexandria via LeMat-Bulk.

## Properties
The electronic total energy comes out at -6.28 eV per atom. The formation energy comes out at -0.2794 eV per atom. The value obtained for the total magnetic moment is 0.0 μB per formula unit.

Cell: 2.9819 2.9819 10.1007 Å, 90.00 90.00 90.00°
Space group I4mm (No. 107)
Unique sites:
Ge1 0.0000 0.0000 0.0000 [2 per cell]
Pt1 0.0000 0.0000 0.3431 [2 per cell]
Rh1 0.0000 0.0000 0.6389 [2 per cell]


[7]
The following is a PBE calculation of a relaxed Tb3SeCl7 crystal, from Alexandria via LeMat-Bulk.

## Properties
The electronic total energy comes out at -4.95 eV per atom. The value obtained for the total magnetic moment is 0.1 μB per formula unit. For the uncorrected formation energy, the calculation gives -2.195 eV/atom.

Cell: 8.1370 8.1370 6.8119 Å, 90.00 90.00 120.00°
Space group P3m1 (No. 156)
Unique sites:
Tb1 0.0099 0.5050 0.0000 [3 per cell]
Se1 0.3333 0.6667 0.2346 [1 per cell]
Cl1 0.1780 0.3560 0.7832 [3 per cell]
Cl2 0.3572 0.1786 0.1975 [3 per cell]
Cl3 0.6667 0.3333 0.7771 [1 per cell]


[8]
The following is a PBE calculation of a relaxed Li2YCl5 crystal, from Alexandria via LeMat-Bulk.

## Properties
The electronic total energy comes out at -4.45 eV per atom. Its energy above the most stable polymorph in this dataset is 0 meV/atom. The value obtained for the total magnetic moment is 0.0 μB per formula unit. For the uncorrected formation energy, the calculation gives -2.004 eV/atom.

Cell: 5.1559 12.4532 13.2048 Å, 90.00 90.00 90.00°
Space group Cmcm (No. 63)
Unique sites:
Li1 0.0000 0.1440 0.0343 [8 per cell]
Y1 0.0000 0.1946 0.7500 [4 per cell]
Cl1 0.0000 0.0372 0.6207 [8 per cell]
Cl2 0.0000 0.2543 0.2500 [4 per cell]
Cl3 0.0000 0.3134 0.5782 [8 per cell]